Record 1
# KAg3Pd | Alexandria | GGA-PBE | relaxed
data_KAg3Pd
_chemical_formula_sum 'K1 Ag3 Pd1'
_cell_length_a 5.209
_cell_length_b 5.209
_cell_length_c 5.209
_cell_angle_alpha 90.00
_cell_angle_beta 90.00
_cell_angle_gamma 90.00
_space_group_name_H-M_alt 'P m -3 m'
_space_group_IT_number 221
_space_group_name_Hall '-P 4 2 3'
loop_
_atom_site_label
_atom_site_type_symbol
_atom_site_fract_x
_atom_site_fract_y
_atom_site_fract_z
K1 K 0.000 0.000 0.000
Ag1 Ag 0.000 0.500 0.500
Pd1 Pd 0.500 0.500 0.500
# N(E_F) ... 0.38 states/eV/atom
# Energy relative to the elements ... 0.278 eV per atom
# Polymorph energy (0 for the lowest one) ... 253.1 meV/atom

Record 2
# KAg2Pd2 | Alexandria | GGA-PBE | relaxed
data_KAg2Pd2
_chemical_formula_sum 'K4 Ag8 Pd8'
_cell_length_a 4.422
_cell_length_b 4.422
_cell_length_c 23.374
_cell_angle_alpha 90.00
_cell_angle_beta 90.00
_cell_angle_gamma 90.00
_space_group_name_H-M_alt 'I 4/m m m'
_space_group_IT_number 139
_space_group_name_Hall '-I 4 2'
loop_
_atom_site_label
_atom_site_type_symbol
_atom_site_fract_x
_atom_site_fract_y
_atom_site_fract_z
K1 K 0.000 0.000 0.127
Ag1 Ag 0.000 0.000 0.318
Ag2 Ag 0.000 0.500 0.000
Pd1 Pd 0.000 0.000 0.433
Pd2 Pd 0.000 0.500 0.250
# N(E_F) ... 0.44 states/eV/atom
# Energy relative to the elements ... 0.130 eV per atom
# Polymorph energy (0 for the lowest one) ... 126.0 meV/atom

Record 3
# K2Ag15Pd2 | Alexandria | GGA-PBE | relaxed
data_K2Ag15Pd2
_chemical_formula_sum 'K6 Ag45 Pd6'
_cell_length_a 9.7612
_cell_length_b 9.7612
_cell_length_c 14.1636
_cell_angle_alpha 90.00
_cell_angle_beta 90.00
_cell_angle_gamma 120.00
_space_group_name_H-M_alt 'R -3 m'
_space_group_IT_number 166
_space_group_name_Hall '-R 3 2"'
loop_
_atom_site_label
_atom_site_type_symbol
_atom_site_fract_x
_atom_site_fract_y
_atom_site_fract_z
K1 K 0.0000 0.0000 0.1595
Ag1 Ag 0.0000 0.2914 0.5000
Ag2 Ag 0.0000 0.5000 0.0000
Ag3 Ag 0.0052 0.5026 0.3484
Pd1 Pd 0.0000 0.0000 0.4039
# N(E_F) ... 0.30 states/eV/atom
# Energy relative to the elements ... 0.030 eV per atom

- Number 3 is which compound?
  K2Ag15Pd2

Please write out number 3 again, unchanged.
# K2Ag15Pd2 | Alexandria | GGA-PBE | relaxed
data_K2Ag15Pd2
_chemical_formula_sum 'K6 Ag45 Pd6'
_cell_length_a 9.7612
_cell_length_b 9.7612
_cell_length_c 14.1636
_cell_angle_alpha 90.00
_cell_angle_beta 90.00
_cell_angle_gamma 120.00
_space_group_name_H-M_alt 'R -3 m'
_space_group_IT_number 166
_space_group_name_Hall '-R 3 2"'
loop_
_atom_site_label
_atom_site_type_symbol
_atom_site_fract_x
_atom_site_fract_y
_atom_site_fract_z
K1 K 0.0000 0.0000 0.1595
Ag1 Ag 0.0000 0.2914 0.5000
Ag2 Ag 0.0000 0.5000 0.0000
Ag3 Ag 0.0052 0.5026 0.3484
Pd1 Pd 0.0000 0.0000 0.4039
# N(E_F) ... 0.30 states/eV/atom
# Energy relative to the elements ... 0.030 eV per atom

- Which of these has the lowest energy relative to the elements?
  K2Ag15Pd2

What did the second record say?
# KAg2Pd2 | Alexandria | GGA-PBE | relaxed
data_KAg2Pd2
_chemical_formula_sum 'K4 Ag8 Pd8'
_cell_length_a 4.422
_cell_length_b 4.422
_cell_length_c 23.374
_cell_angle_alpha 90.00
_cell_angle_beta 90.00
_cell_angle_gamma 90.00
_space_group_name_H-M_alt 'I 4/m m m'
_space_group_IT_number 139
_space_group_name_Hall '-I 4 2'
loop_
_atom_site_label
_atom_site_type_symbol
_atom_site_fract_x
_atom_site_fract_y
_atom_site_fract_z
K1 K 0.000 0.000 0.127
Ag1 Ag 0.000 0.000 0.318
Ag2 Ag 0.000 0.500 0.000
Pd1 Pd 0.000 0.000 0.433
Pd2 Pd 0.000 0.500 0.250
# N(E_F) ... 0.44 states/eV/atom
# Energy relative to the elements ... 0.130 eV per atom
# Polymorph energy (0 for the lowest one) ... 126.0 meV/atom